[1]
A geometry-optimized MgReOsRu structure, computed with PBE-GGA.

Output
Calculated volume   14.7 A^3/atom
Raw total energy   -8.505 eV/atom
DOS at the Fermi energy   0.842 states/eV per atom

Cell lengths 6.1694, 6.1694, 6.1694 Å; angles 90.00, 90.00, 90.00 degrees
Space group F-43m (No. 216)
Symmetry-distinct sites (fractional):
Mg 0.0000 0.0000 0.0000 x4
Re 0.0000 0.0000 0.5000 x4
Os 0.2500 0.2500 0.2500 x4
Ru 0.2500 0.2500 0.7500 x4

---

[2]
A geometry-optimized SmSnIr structure, computed with PBE-GGA.

Output
Calculated volume   22.9 A^3/atom
Raw total energy   -6.483 eV/atom
DOS at the Fermi energy   0.823 states/eV per atom

Cell lengths 4.6399, 4.6399, 3.6809 Å; angles 90.00, 90.00, 120.00 degrees
Space group P-6m2 (No. 187)
Symmetry-distinct sites (fractional):
Sm 0.0000 0.0000 0.0000 x1
Sn 0.3333 0.6667 0.5000 x1
Ir 0.6667 0.3333 0.5000 x1

---

[3]
A geometry-optimized AgHg3Cl structure, computed with PBE-GGA.

Output
Calculated volume   31.9 A^3/atom
Raw total energy   -1.157 eV/atom
DOS at the Fermi energy   0.257 states/eV per atom
ΔE_f (raw)   -0.04 eV/atom
Distance to the lowest polymorph of the same formula   0.136 eV/atom

Cell lengths 5.4228, 5.4228, 5.4228 Å; angles 90.00, 90.00, 90.00 degrees
Space group Pm-3m (No. 221)
Symmetry-distinct sites (fractional):
Ag 0.0000 0.0000 0.0000 x1
Hg 0.0000 0.0000 0.5000 x3
Cl 0.5000 0.5000 0.5000 x1

---

[4]
A geometry-optimized Ag2WAu structure, computed with PBE-GGA.

Output
Calculated volume   17.3 A^3/atom
Raw total energy   -5.110 eV/atom
DOS at the Fermi energy   1.072 states/eV per atom
Distance to the lowest polymorph of the same formula   0.046 eV/atom

Cell lengths 2.8588, 2.8588, 29.3128 Å; angles 90.00, 90.00, 120.00 degrees
Space group R-3m (No. 166, hexagonal axes)
Symmetry-distinct sites (fractional):
Ag 0.0000 0.0000 0.2488 x6
W 0.0000 0.0000 0.5000 x3
Au 0.0000 0.0000 0.0000 x3

---

[5]
A geometry-optimized ZnMoRh4 structure, computed with PBE-GGA.

Output
Calculated volume   15.3 A^3/atom
Raw total energy   -6.752 eV/atom
DOS at the Fermi energy   0.785 states/eV per atom

Cell lengths 7.1673, 7.1673, 7.1673 Å; angles 90.00, 90.00, 90.00 degrees
Space group F-43m (No. 216)
Symmetry-distinct sites (fractional):
Zn 0.0000 0.0000 0.0000 x4
Mo 0.2500 0.2500 0.2500 x4
Rh 0.1254 0.1254 0.6254 x16

---

[6]
A geometry-optimized Ca3AgHg structure, computed with PBE-GGA.

Output
Calculated volume   37.3 A^3/atom
Raw total energy   -1.906 eV/atom
DOS at the Fermi energy   0.795 states/eV per atom
Distance to the lowest polymorph of the same formula   0.261 eV/atom

Cell lengths 5.7125, 5.7125, 5.7125 Å; angles 90.00, 90.00, 90.00 degrees
Space group Pm-3m (No. 221)
Symmetry-distinct sites (fractional):
Ca 0.0000 0.0000 0.5000 x3
Ag 0.0000 0.0000 0.0000 x1
Hg 0.5000 0.5000 0.5000 x1

---

[7]
A geometry-optimized CuRe2Ir structure, computed with PBE-GGA.

Output
Calculated volume   14.3 A^3/atom
Raw total energy   -9.272 eV/atom
DOS at the Fermi energy   0.943 states/eV per atom
Distance to the lowest polymorph of the same formula   0.098 eV/atom

Cell lengths 5.2785, 8.0051, 2.6983 Å; angles 90.00, 90.00, 90.00 degrees
Space group Cmmm (No. 65)
Symmetry-distinct sites (fractional):
Cu 0.0000 0.0000 0.0000 x2
Re 0.2500 0.2500 0.5000 x4
Ir 0.0000 0.5000 0.0000 x2

---

[8]
A geometry-optimized NaYTi structure, computed with PBE-GGA.

Output
Calculated volume   28.9 A^3/atom
Raw total energy   -5.119 eV/atom
DOS at the Fermi energy   0.711 states/eV per atom
Distance to the lowest polymorph of the same formula   0.000 eV/atom

Cell lengths 3.5540, 3.5540, 13.7049 Å; angles 90.00, 90.00, 90.00 degrees
Space group P4/nmm (No. 129, origin choice 2)
Symmetry-distinct sites (fractional):
Na 0.2500 0.2500 0.1082 x2
Y 0.2500 0.2500 0.6833 x2
Ti 0.2500 0.2500 0.4597 x2

---

- What is the DOS at the Fermi energy in the fourth record?
  1.072 states/eV per atom